Record 1
Material: Gd2IrPd
Method: DFT, PBE
State: relaxed

Structure (extended XYZ):
```
4
Lattice="4.944 0.000 0.000 2.472 4.281 0.000 2.472 1.427 4.036" Properties=species:S:1:pos:R:3 pbc="T T T"
Gd 7.415 4.281 3.027
Gd 2.472 1.427 1.009
Pd 0.000 0.000 0.000
Ir 4.944 2.854 2.018
```

Computed properties:
The calculation puts the magnetic moment at 14.091 μB per formula unit. As for the symmetry: No. 225. For the density of states at the Fermi level, the calculation gives 0.58 states/eV/atom. The calculation puts the relative energy among the computed polymorphs at 0.000 eV/atom. The formation energy from the elements is -0.83 eV/atom. The value obtained for the density is 11.92 Mg/m³.



Record 2
Material: Gd2IrPd
Method: DFT, PBE
State: relaxed

Structure (extended XYZ):
```
4
Lattice="-3.269 -0.771 -1.001 0.950 -3.329 -0.541 -1.664 -1.553 6.631" Properties=species:S:1:pos:R:3 pbc="T T T"
Pd -1.159 -2.050 -0.771
Gd -1.228 -1.147 4.896
Gd -0.435 -0.406 1.735
Ir -1.991 -2.826 2.545
```

Computed properties:
The calculation puts the magnetic moment at 14.083 μB per formula unit. As for the symmetry: No. 123. For the density of states at the Fermi level, the calculation gives 0.30 states/eV/atom. The calculation puts the relative energy among the computed polymorphs at 0.007 eV/atom. The formation energy from the elements is -0.82 eV/atom. The value obtained for the density is 11.83 Mg/m³.



Record 3
Material: PmGdIrPd
Method: DFT, PBE
State: relaxed

Structure (extended XYZ):
```
4
Lattice="4.987 0.000 0.000 2.493 4.319 0.000 2.493 1.440 4.072" Properties=species:S:1:pos:R:3 pbc="T T T"
Ir 0.000 0.000 0.000
Pm 7.480 4.319 3.054
Gd 2.493 1.440 1.018
Pd 4.987 2.879 2.036
```

Computed properties:
The calculation puts the magnetic moment at 7.122 μB per formula unit. As for the symmetry: No. 216. For the density of states at the Fermi level, the calculation gives 0.70 states/eV/atom. The formation energy from the elements is -0.78 eV/atom. The value obtained for the density is 11.38 Mg/m³.



Record 4
Material: PrGdIrPd
Method: DFT, PBE
State: relaxed

Structure (extended XYZ):
```
4
Lattice="5.025 0.000 0.000 2.512 4.352 0.000 2.512 1.451 4.103" Properties=species:S:1:pos:R:3 pbc="T T T"
Pd 5.025 2.901 2.051
Ir 0.000 0.000 0.000
Gd 2.512 1.451 1.026
Pr 7.537 4.352 3.077
```

Computed properties:
The calculation puts the magnetic moment at 7.127 μB per formula unit. As for the symmetry: No. 216. For the density of states at the Fermi level, the calculation gives 0.74 states/eV/atom. The formation energy from the elements is -0.73 eV/atom. The value obtained for the density is 11.05 Mg/m³.



Record 5
Material: GdScIrPd
Method: DFT, PBE
State: relaxed

Structure (extended XYZ):
```
4
Lattice="4.793 0.000 0.000 2.396 4.150 0.000 2.396 1.383 3.913" Properties=species:S:1:pos:R:3 pbc="T T T"
Gd 4.793 2.767 1.957
Sc 0.000 0.000 0.000
Ir 7.189 4.150 2.935
Pd 2.396 1.383 0.978
```

Computed properties:
The calculation puts the magnetic moment at 7.066 μB per formula unit. As for the symmetry: No. 216. For the density of states at the Fermi level, the calculation gives 0.48 states/eV/atom. The formation energy from the elements is -0.86 eV/atom. The value obtained for the density is 10.69 Mg/m³.



Record 6
Material: TbGdIrPd
Method: DFT, PBE
State: relaxed

Structure (extended XYZ):
```
4
Lattice="-1.810 0.449 4.565 0.955 -3.459 3.382 3.025 1.000 3.764" Properties=species:S:1:pos:R:3 pbc="T T T"
Tb 0.542 -0.503 2.928
Gd 1.627 -1.508 8.784
Pd 1.085 -1.005 5.856
Ir 0.000 0.000 0.000
```

Computed properties:
The calculation puts the magnetic moment at 7.049 μB per formula unit. As for the symmetry: No. 216. For the density of states at the Fermi level, the calculation gives 0.56 states/eV/atom. The formation energy from the elements is -0.85 eV/atom. The value obtained for the density is 12.04 Mg/m³.



Record 7
Material: GdYIrPd
Method: DFT, PBE
State: relaxed

Structure (extended XYZ):
```
4
Lattice="4.928 0.000 0.000 2.464 4.268 0.000 2.464 1.423 4.024" Properties=species:S:1:pos:R:3 pbc="T T T"
Gd 4.928 2.845 2.012
Y 0.000 0.000 0.000
Ir 7.392 4.268 3.018
Pd 2.464 1.423 1.006
```

Computed properties:
The calculation puts the magnetic moment at 7.032 μB per formula unit. As for the symmetry: No. 216. For the density of states at the Fermi level, the calculation gives 0.54 states/eV/atom. The formation energy from the elements is -0.85 eV/atom. The value obtained for the density is 10.69 Mg/m³.



Record 8
Material: Pm2GdIr
Method: DFT, PBE
State: relaxed

Structure (extended XYZ):
```
4
Lattice="5.216 0.000 0.000 2.608 4.517 0.000 2.608 1.506 4.257" Properties=species:S:1:pos:R:3 pbc="T T T"
Gd 5.216 3.011 2.128
Pm 2.608 1.506 1.064
Pm 7.824 4.517 3.192
Ir 0.000 0.000 0.000
```

Computed properties:
The calculation puts the magnetic moment at 7.868 μB per formula unit. As for the symmetry: No. 225. For the density of states at the Fermi level, the calculation gives 1.66 states/eV/atom. The calculation puts the relative energy among the computed polymorphs at 0.210 eV/atom. The formation energy from the elements is -0.08 eV/atom. The value obtained for the density is 10.59 Mg/m³.